*P*
This record from the Alexandria database describes a relaxed structure of TePt2. The functional is PBE.

a = 4.905 Å, b = 4.905 Å, c = 4.905 Å
α = 136.52°, β = 136.52°, γ = 63.18°
Fractional positions:
Te  0.000  0.000  0.000
Pt  0.671  0.671  0.000
Pt  0.329  0.329  0.000

- Space group: I4/mmm (139)
- V: 18.4 Å³/atom
- Theoretical density: 15.58 g cm⁻³

*Q*
This record from the Alexandria database describes a relaxed structure of TePt2. The functional is PBE.

a = 6.121 Å, b = 6.121 Å, c = 5.485 Å
α = 72.96°, β = 72.96°, γ = 36.30°
Fractional positions:
Te  0.317  0.317  0.692
Te  0.683  0.683  0.308
Pt  0.967  0.967  0.766
Pt  0.033  0.033  0.234
Pt  0.373  0.373  0.183
Pt  0.627  0.627  0.817

- Space group: C2/m (12)
- V: 19.3 Å³/atom
- Theoretical density: 14.86 g cm⁻³

In order of decreasing stability: *Q*, *P*.

*P*
This record from the Alexandria database describes a relaxed structure of TePt2. The functional is PBE.

a = 8.403 Å, b = 8.403 Å, c = 3.990 Å
α = 90.00°, β = 90.00°, γ = 152.52°
Fractional positions:
Pt  0.457  0.543  0.500
Pt  0.950  0.050  0.000
Pt  0.321  0.679  0.000
Pt  0.828  0.172  0.500
Te  0.061  0.939  0.500
Te  0.717  0.283  0.000

- Space group: Cmcm (63)
- V: 21.7 Å³/atom
- Theoretical density: 13.23 g cm⁻³

*Q*
This record from the Alexandria database describes a relaxed structure of TePt2. The functional is PBE.

a = 4.739 Å, b = 4.739 Å, c = 2.928 Å
α = 90.00°, β = 90.00°, γ = 120.00°
Fractional positions:
Pt  0.333  0.667  0.171
Pt  0.667  0.333  0.829
Te  0.000  0.000  0.000

- Space group: P-3m1 (164)
- V: 19.0 Å³/atom
- Theoretical density: 15.10 g cm⁻³

In order of decreasing stability: *P*, *Q*.

*P*
This record from the Alexandria database describes a relaxed structure of TePt2. The functional is PBE.

a = 3.963 Å, b = 3.963 Å, c = 8.818 Å
α = 90.00°, β = 90.00°, γ = 120.00°
Fractional positions:
Pt  0.333  0.667  0.585
Pt  0.667  0.333  0.415
Pt  0.667  0.333  0.085
Pt  0.333  0.667  0.915
Te  0.000  0.000  0.250
Te  0.000  0.000  0.750

- Space group: P6_3/mmc (194)
- V: 20.0 Å³/atom
- Theoretical density: 14.34 g cm⁻³

*Q*
This record from the Alexandria database describes a relaxed structure of TePt2. The functional is PBE.

a = 7.614 Å, b = 7.614 Å, c = 3.380 Å
α = 90.00°, β = 90.00°, γ = 120.00°
Fractional positions:
Pt  0.000  0.636  0.500
Pt  0.636  0.000  0.500
Pt  0.364  0.364  0.500
Pt  0.000  0.300  0.000
Pt  0.300  0.000  0.000
Pt  0.700  0.700  0.000
Te  0.333  0.667  0.000
Te  0.000  0.000  0.500
Te  0.667  0.333  0.000

- Space group: P-62m (189)
- V: 18.9 Å³/atom
- Theoretical density: 15.20 g cm⁻³

In order of decreasing stability: *P*, *Q*.

*P*
This record from the Alexandria database describes a relaxed structure of TePt2. The functional is PBE.

a = 15.862 Å, b = 15.862 Å, c = 15.862 Å
α = 166.09°, β = 166.09°, γ = 19.72°
Fractional positions:
Pt  0.842  0.342  0.500
Pt  0.488  0.988  0.500
Pt  0.408  0.408  0.000
Pt  0.658  0.158  0.500
Pt  0.012  0.512  0.500
Pt  0.592  0.592  0.000
Pt  0.762  0.762  0.000
Pt  0.238  0.238  0.000
Te  0.321  0.821  0.500
Te  0.179  0.679  0.500
Te  0.929  0.929  0.000
Te  0.071  0.071  0.000

- Space group: I4_1/amd (141)
- V: 19.2 Å³/atom
- Theoretical density: 14.92 g cm⁻³

*Q*
This record from the Alexandria database describes a relaxed structure of TePt2. The functional is PBE.

a = 4.698 Å, b = 4.698 Å, c = 2.980 Å
α = 90.00°, β = 90.00°, γ = 120.00°
Fractional positions:
Te  0.000  0.000  0.000
Pt  0.333  0.667  0.500
Pt  0.667  0.333  0.500

- Space group: P6/mmm (191)
- V: 19.0 Å³/atom
- Theoretical density: 15.09 g cm⁻³

*R*
This record from the Alexandria database describes a relaxed structure of TePt2. The functional is PBE.

a = 5.457 Å, b = 5.457 Å, c = 5.457 Å
α = 60.00°, β = 60.00°, γ = 60.00°
Fractional positions:
Te  0.750  0.750  0.750
Te  0.500  0.500  0.500
Pt  0.125  0.125  0.125
Pt  0.125  0.625  0.125
Pt  0.625  0.125  0.125
Pt  0.125  0.125  0.625

- Space group: Fd-3m (227)
- V: 19.2 Å³/atom
- Theoretical density: 14.97 g cm⁻³

*S*
This record from the Alexandria database describes a relaxed structure of TePt2. The functional is PBE.

a = 9.986 Å, b = 9.986 Å, c = 9.986 Å
α = 159.77°, β = 159.77°, γ = 28.77°
Fractional positions:
Pt  0.323  0.823  0.500
Pt  0.427  0.427  0.000
Pt  0.177  0.677  0.500
Pt  0.573  0.573  0.000
Te  0.000  0.000  0.000
Te  0.750  0.250  0.500

- Space group: I4_1/amd (141)
- V: 19.8 Å³/atom
- Theoretical density: 14.44 g cm⁻³

In order of decreasing stability: *P*, *S*, *R*, *Q*.

*P*
This record from the Alexandria database describes a relaxed structure of TePt2. The functional is PBE.

a = 5.660 Å, b = 5.660 Å, c = 9.483 Å
α = 90.00°, β = 90.00°, γ = 120.00°
Fractional positions:
Pt  0.157  0.843  0.750
Pt  0.314  0.157  0.250
Pt  0.843  0.157  0.250
Pt  0.686  0.843  0.750
Pt  0.843  0.686  0.250
Pt  0.000  0.000  0.500
Pt  0.157  0.314  0.750
Pt  0.000  0.000  0.000
Te  0.667  0.333  0.457
Te  0.667  0.333  0.043
Te  0.333  0.667  0.543
Te  0.333  0.667  0.957

- Space group: P6_3/mmc (194)
- V: 21.9 Å³/atom
- Theoretical density: 13.07 g cm⁻³

*Q*
This record from the Alexandria database describes a relaxed structure of TePt2. The functional is PBE.

a = 3.660 Å, b = 3.815 Å, c = 8.090 Å
α = 90.00°, β = 90.00°, γ = 90.00°
Fractional positions:
Te  0.000  0.000  0.000
Te  0.500  0.500  0.500
Pt  0.500  0.394  0.172
Pt  0.000  0.894  0.328
Pt  0.500  0.606  0.828
Pt  0.000  0.106  0.672

- Space group: Pnnm (58)
- V: 18.8 Å³/atom
- Theoretical density: 15.22 g cm⁻³

In order of decreasing stability: *Q*, *P*.

*P*
This record from the Alexandria database describes a relaxed structure of Te5Pt4. The functional is PBE.

a = 7.870 Å, b = 7.870 Å, c = 7.681 Å
α = 90.00°, β = 90.00°, γ = 120.00°
Fractional positions:
Te  0.000  0.756  0.250
Te  0.667  0.333  0.000
Te  0.333  0.667  0.000
Te  0.333  0.667  0.500
Te  0.244  0.000  0.750
Te  0.756  0.756  0.750
Te  0.756  0.000  0.250
Te  0.000  0.244  0.750
Te  0.667  0.333  0.500
Te  0.244  0.244  0.250
Pt  0.419  0.000  0.250
Pt  0.000  0.000  0.500
Pt  0.000  0.419  0.250
Pt  0.419  0.419  0.750
Pt  0.000  0.000  0.000
Pt  0.581  0.000  0.750
Pt  0.000  0.581  0.750
Pt  0.581  0.581  0.250

- Space group: P6_3/mcm (193)
- V: 22.9 Å³/atom
- Theoretical density: 11.43 g cm⁻³

*Q*
This record from the Alexandria database describes a relaxed structure of Te5Pt4. The functional is PBE.

a = 7.445 Å, b = 7.445 Å, c = 7.445 Å
α = 93.77°, β = 93.77°, γ = 150.28°
Fractional positions:
Pt  0.000  0.644  0.644
Pt  0.644  0.000  0.644
Pt  0.356  0.000  0.356
Pt  0.000  0.356  0.356
Te  0.327  0.327  0.654
Te  0.327  0.673  0.000
Te  0.673  0.673  0.346
Te  0.673  0.327  0.000
Te  0.000  0.000  0.000

- Space group: I4/mmm (139)
- V: 22.0 Å³/atom
- Theoretical density: 11.91 g cm⁻³

In order of decreasing stability: *P*, *Q*.